First-principles (PBE) data for a relaxed SrLi2ZnF8 crystal, as listed in Alexandria.

Properties
- Formation energy without anion corrections: -2.462 eV per atom
- Raw total energy: -51.30 eV for the cell shown
- Total magnetic moment: 2.03 Bohr magnetons per cell

Unit cell a=4.5094 b=4.7842 c=7.2582 alpha=83.94 beta=89.32 gamma=89.14
Last column: nearest neighbours and their distance in Å.
Space group P-1 (No. 2)
Asymmetric unit:
Sr  0.0000  0.0000  0.0000  8 F 2.47-2.75
Li  0.4798  0.4804  0.6933  5 F 1.97-2.02
Zn  0.0000  0.0000  0.5000  6 F 1.94-2.04
F  0.1584  0.7538  0.7259  1 Li 1.97, 1 Zn 2.04
F  0.1748  0.7925  0.3057  1 Zn 1.96, 1 Li 2.02
F  0.3252  0.2601  0.4991  1 Zn 1.94, 2 Li 1.98-1.99
F  0.4666  0.2829  0.9534  1 Li 2.02